[1]
Density functional theory data (PBE) for crystalline RbSnSb2Te at its relaxed geometry.

Cell: 5.9470 5.9470 6.1279 Å, 90.00 90.00 90.00°
With the nearest neighbours (Å) after each atom.
Space group P4/mmm (No. 123)
Asymmetric unit:
Rb  0.0000  0.0000  0.0000  4 Sb 2.97, 2 Te 3.06
Sn  0.5000  0.5000  0.5000  4 Te 4.21, 8 Sb 4.27
Sb  0.0000  0.5000  0.0000  2 Rb 2.97
Te  0.0000  0.0000  0.5000  2 Rb 3.06

Summary:
* E above lowest polymorph: 1030 meV/atom
* formation energy (no corrections): 1198 meV/atom
* M_tot: 0.000 μB/atom
* total DFT energy (no corrections): -10.37 eV per cell

[2]
Density functional theory data (PBE) for crystalline Tb3MnP2Pt9 at its relaxed geometry.

Cell: 7.4537 7.4537 6.0680 Å, 90.00 90.00 120.00°
With the nearest neighbours (Å) after each atom.
Space group P-3m1 (No. 164)
Asymmetric unit:
Tb  0.0000  0.0000  0.0000  6 Pt 3.02, 2 Mn 3.03
Tb  0.3333  0.6667  0.6645  6 Pt 2.88-2.96, 2 P 2.93-3.14
Mn  0.0000  0.0000  0.5000  6 Pt 2.45
P  0.3333  0.6667  0.1477  6 Pt 2.33-2.36
Pt  0.0000  0.5000  0.0000  2 P 2.33
Pt  0.1728  0.3457  0.3345  1 P 2.36, 1 Mn 2.45

Summary:
* energy relative to the elements: -9.43 eV/f.u.
* M_tot: 0.224 μB/atom
* total DFT energy (no corrections): -97.68 eV per cell

[3]
Density functional theory data (PBE) for crystalline MnBe4Ni5 at its relaxed geometry.

Cell: 2.6029 2.6029 14.0533 Å, 90.00 90.00 90.00°
With the nearest neighbours (Å) after each atom.
Space group P4/mmm (No. 123)
Asymmetric unit:
Mn  0.0000  0.0000  0.0000  8 Ni 2.55, 4 Mn 2.60
Be  0.0000  0.0000  0.2186  8 Ni 2.26-2.28
Be  0.0000  0.0000  0.4066  8 Ni 2.26
Ni  0.5000  0.5000  0.1259  4 Be 2.26
Ni  0.5000  0.5000  0.3138  8 Be 2.26-2.28
Ni  0.5000  0.5000  0.5000  8 Be 2.26

Summary:
* energy relative to the elements: -3.75 eV/f.u.
* M_tot: 0.367 μB/atom
* total DFT energy (no corrections): -56.73 eV per cell

[4]
Density functional theory data (PBE) for crystalline ScGaF3 at its relaxed geometry.

Cell: 4.2566 4.2566 4.2566 Å, 90.00 90.00 90.00°
With the nearest neighbours (Å) after each atom.
Space group Pm-3m (No. 221)
Asymmetric unit:
Sc  0.0000  0.0000  0.0000  6 F 2.13
Ga  0.5000  0.5000  0.5000  12 F 3.01
F  0.0000  0.0000  0.5000  2 Sc 2.13

Summary:
* E above lowest polymorph: 0 meV/atom
* formation energy (no corrections): -2654 meV/atom
* M_tot: 0.116 μB/atom
* total DFT energy (no corrections): -28.24 eV per cell

[5]
Density functional theory data (PBE) for crystalline Na2Hg2H4Pd at its relaxed geometry.

Cell: 5.9390 5.9390 8.3581 Å, 90.00 90.00 90.00°
With the nearest neighbours (Å) after each atom.
Space group I4/mmm (No. 139)
Asymmetric unit:
Na  0.0000  0.5000  0.2500  8 H 2.99, 4 Hg 3.05
Hg  0.0000  0.0000  0.1680  1 Pd 2.77, 1 Hg 2.81, 4 H 2.89, 4 Na 3.05
H  0.1996  0.1996  0.5000  1 Pd 1.68
Pd  0.0000  0.0000  0.5000  4 H 1.68

Summary:
* M_tot: 0.000 μB/atom
* total DFT energy (no corrections): -44.97 eV per cell

[6]
Density functional theory data (PBE) for crystalline Sb8Ru at its relaxed geometry.

Cell: 12.0324 12.0324 3.3189 Å, 90.00 90.00 90.00°
With the nearest neighbours (Å) after each atom.
Space group I4/mmm (No. 139)
Asymmetric unit:
Sb  0.0000  0.3399  0.0000  10 Sb 3.19-3.39
Sb  0.1340  0.1340  0.5000  2 Ru 2.82
Ru  0.0000  0.0000  0.0000  8 Sb 2.82

Summary:
* formation energy (no corrections): 169 meV/atom
* M_tot: 0.028 μB/atom
* total DFT energy (no corrections): -81.47 eV per cell

[7]
Density functional theory data (PBE) for crystalline Li2BrN at its relaxed geometry.

Cell: 6.2134 6.2134 6.2134 Å, 90.00 90.00 90.00°
With the nearest neighbours (Å) after each atom.
Space group Fm-3m (No. 225)
Asymmetric unit:
Li  0.2500  0.2500  0.2500  4 Br 2.69, 4 N 2.69
Br  0.0000  0.0000  0.0000  8 Li 2.69
N  0.0000  0.0000  0.5000  8 Li 2.69

Summary:
* E above lowest polymorph: 243 meV/atom
* formation energy (no corrections): 108 meV/atom
* M_tot: 0.500 μB/atom
* total DFT energy (no corrections): -53.58 eV per cell

[8]
Density functional theory data (PBE) for crystalline ReSi2Os at its relaxed geometry.

Cell: 3.1051 3.1051 5.6460 Å, 90.00 90.00 90.00°
With the nearest neighbours (Å) after each atom.
Space group P4mm (No. 99)
Asymmetric unit:
Re  0.0000  0.0000  0.0000  5 Si 2.45-2.50
Si  0.0000  0.0000  0.4430  4 Os 2.47, 1 Re 2.50, 4 Si 2.61
Si  0.5000  0.5000  0.1928  4 Re 2.45, 1 Os 2.54, 4 Si 2.61
Os  0.5000  0.5000  0.6424  5 Si 2.47-2.54

Summary:
* formation energy (no corrections): -223 meV/atom
* M_tot: 0.000 μB/atom
* total DFT energy (no corrections): -35.42 eV per cell

[9]
Density functional theory data (PBE) for crystalline GeIrO3 at its relaxed geometry.

Cell: 3.7450 3.7450 3.7450 Å, 90.00 90.00 90.00°
With the nearest neighbours (Å) after each atom.
Space group Pm-3m (No. 221)
Asymmetric unit:
Ge  0.0000  0.0000  0.0000  6 O 1.87
Ir  0.5000  0.5000  0.5000  12 O 2.65
O  0.0000  0.0000  0.5000  2 Ge 1.87

Summary:
* formation energy (no corrections): 3 meV/atom
* M_tot: 0.608 μB/atom
* total DFT energy (no corrections): -28.34 eV per cell

[10]
Density functional theory data (PBE) for crystalline Cs2MnHgBr6 at its relaxed geometry.

Cell: 7.8482 7.8482 11.1237 Å, 90.00 90.00 90.00°
With the nearest neighbours (Å) after each atom.
Space group I4/mmm (No. 139)
Asymmetric unit:
Cs  0.0000  0.5000  0.2500  12 Br 3.93
Mn  0.0000  0.0000  0.0000  6 Br 2.66-2.68
Hg  0.0000  0.0000  0.5000  6 Br 2.87-2.90
Br  0.0000  0.0000  0.2394  1 Mn 2.66, 1 Hg 2.90
Br  0.2417  0.2417  0.0000  1 Mn 2.68, 1 Hg 2.87

Summary:
* formation energy (no corrections): -1085 meV/atom
* M_tot: 0.499 μB/atom
* total DFT energy (no corrections): -64.14 eV per cell

[11]
Density functional theory data (PBE) for crystalline LaPmGe2 at its relaxed geometry.

Cell: 4.0978 4.5338 11.1999 Å, 90.00 90.00 90.00°
With the nearest neighbours (Å) after each atom.
Space group Amm2 (No. 38)
Asymmetric unit:
La  0.0000  0.0000  0.0000  7 Ge 3.12-3.36
Pm  0.5000  0.0000  0.7245  7 Ge 3.12-3.30
Ge  0.0000  0.0000  0.2790  2 Ge 2.72
Ge  0.5000  0.0000  0.4391  2 Ge 2.72

Summary:
* energy relative to the elements: -3.37 eV/f.u.
* M_tot: 0.000 μB/atom
* total DFT energy (no corrections): -44.57 eV per cell

[12]
Density functional theory data (PBE) for crystalline ZrMn2Br at its relaxed geometry.

Cell: 9.8782 3.1690 5.1348 Å, 90.00 110.48 90.00°
With the nearest neighbours (Å) after each atom.
Space group Cm (No. 8)
Asymmetric unit:
Zr  0.0000  0.0000  0.0000  3 Br 2.73-2.84, 2 Mn 2.90
Mn  0.2147  0.0000  0.6347  3 Mn 2.76-2.83, 2 Br 2.89
Mn  0.4721  0.0000  0.5120  3 Mn 2.76-2.83, 2 Br 2.85, 2 Zr 2.90
Br  0.2532  0.5000  0.1252  3 Zr 2.73-2.84, 4 Mn 2.85-2.89

Summary:
* E above lowest polymorph: 256 meV/atom
* formation energy (no corrections): 302 meV/atom
* M_tot: 1.724 μB/atom
* total DFT energy (no corrections): -54.70 eV per cell